Below is a relaxed structure of LiLuZnCu, with properties calculated at the GGA-PBE level.

Cell: 6.4016 6.4016 6.4016 Å, 90.00 90.00 90.00°
With the nearest neighbours (Å) after each atom.
Space group F-43m (No. 216)
Symmetry-distinct sites (fractional):
Li  0.0000  0.0000  0.0000  4 Cu 2.77, 4 Lu 2.77
Lu  0.2500  0.2500  0.2500  4 Li 2.77, 4 Zn 2.77
Zn  0.0000  0.0000  0.5000  4 Cu 2.77, 4 Lu 2.77
Cu  0.2500  0.2500  0.7500  4 Li 2.77, 4 Zn 2.77

For the total magnetization, the calculation gives 0.0 μB/f.u. For the energy above the lowest structure with this stoichiometry, the calculation gives 77 meV/atom.

***

Below is a relaxed structure of NaHf5, with properties calculated at the GGA-PBE level.

Cell: 5.5543 5.5543 5.0614 Å, 90.00 90.00 120.00°
With the nearest neighbours (Å) after each atom.
Space group P-62m (No. 189)
Symmetry-distinct sites (fractional):
Na  0.0000  0.0000  0.0000  12 Hf 3.17-3.21
Hf  0.0000  0.6572  0.5000  10 Hf 3.12-3.30, 2 Na 3.17
Hf  0.3333  0.6667  0.0000  9 Hf 3.12-3.21, 3 Na 3.21

For the total magnetization, the calculation gives 0.1 μB/f.u. For the energy above the lowest structure with this stoichiometry, the calculation gives 0 meV/atom.

***

Below is a relaxed structure of Lu4SbAsC2, with properties calculated at the GGA-PBE level.

Cell: 3.5794 3.5794 14.1784 Å, 90.00 90.00 120.00°
With the nearest neighbours (Å) after each atom.
Space group P-6m2 (No. 187)
Symmetry-distinct sites (fractional):
Lu  0.0000  0.0000  0.1452  3 C 2.47
Lu  0.3333  0.6667  0.3273  3 C 2.41
Sb  0.0000  0.0000  0.5000  6 Lu 3.20, 6 Sb 3.58
As  0.3333  0.6667  0.0000  6 Lu 2.92
C  0.6667  0.3333  0.2404  6 Lu 2.41-2.47

The raw total energy comes out at -6.418 eV/atom. For the total magnetization, the calculation gives 0.0 μB/f.u.

***

Below is a relaxed structure of Gd2Zn5Hg, with properties calculated at the GGA-PBE level.

Cell: 4.5077 6.3775 11.0943 Å, 90.00 90.00 90.00°
With the nearest neighbours (Å) after each atom.
Space group Amm2 (No. 38)
Symmetry-distinct sites (fractional):
Gd  0.0000  0.0000  0.0000  2 Hg 3.03, 10 Zn 3.03-3.33
Gd  0.5000  0.0000  0.3311  10 Zn 3.01-3.24, 2 Hg 3.19
Zn  0.0000  0.0000  0.5166  6 Zn 2.77-2.84, 2 Gd 3.05
Zn  0.0000  0.2380  0.7327  4 Zn 2.77-3.04, 2 Hg 2.88, 3 Gd 3.01-3.08
Zn  0.5000  0.2208  0.5872  5 Zn 2.77-2.82, 1 Hg 2.92, 2 Gd 3.03
Hg  0.5000  0.0000  0.8180  6 Zn 2.88-2.92, 4 Gd 3.03-3.19

For the total magnetization, the calculation gives 0.0 μB/f.u. The calculated formation energy comes out at -0.316 eV per atom.

***

Below is a relaxed structure of PaSbMo, with properties calculated at the GGA-PBE level.

Cell: 6.8413 6.8413 6.8413 Å, 90.00 90.00 90.00°
With the nearest neighbours (Å) after each atom.
Space group F-43m (No. 216)
Symmetry-distinct sites (fractional):
Pa  0.0000  0.0000  0.0000  4 Mo 2.96, 4 Sb 2.96
Sb  0.2500  0.2500  0.2500  4 Pa 2.96
Mo  0.2500  0.2500  0.7500  4 Pa 2.96

The raw total energy comes out at -7.250 eV/atom. For the total magnetization, the calculation gives 0.0 μB/f.u.

***

Below is a relaxed structure of LiSnHg3S4, with properties calculated at the GGA-PBE level.

Cell: 6.2540 6.2540 6.2540 Å, 90.00 90.00 90.00°
With the nearest neighbours (Å) after each atom.
Space group P-43m (No. 215)
Symmetry-distinct sites (fractional):
Li  0.0000  0.0000  0.0000  4 S 2.59
Sn  0.5000  0.5000  0.5000  4 S 2.82, 6 Hg 3.13
Hg  0.0000  0.5000  0.5000  4 S 2.75
S  0.2394  0.2394  0.2394  1 Li 2.59, 3 Hg 2.75, 1 Sn 2.82

The raw total energy comes out at -2.703 eV/atom.

***

Below is a relaxed structure of SrTmPdSe3, with properties calculated at the GGA-PBE level.

Cell: 13.6302 4.1099 10.7354 Å, 90.00 90.00 90.00°
With the nearest neighbours (Å) after each atom.
Space group Pnma (No. 62)
Symmetry-distinct sites (fractional):
Sr  0.2277  0.2500  0.0483  6 Se 3.09-3.21, 1 Pd 3.41
Tm  0.0215  0.2500  0.3296  6 Se 2.82-2.88
Pd  0.0023  0.2500  0.9102  4 Se 2.51-2.77
Se  0.1035  0.2500  0.5709  3 Tm 2.82-2.88, 2 Sr 3.09
Se  0.1049  0.7500  0.8804  3 Pd 2.51-2.68
Se  0.1526  0.7500  0.2572  1 Pd 2.77, 2 Tm 2.83

For the total magnetization, the calculation gives 0.0 μB/f.u. For the energy above the lowest structure with this stoichiometry, the calculation gives 0 meV/atom.

***

Below is a relaxed structure of Nd3Si2ClO8, with properties calculated at the GGA-PBE level.

Cell: 14.0655 6.3883 8.7641 Å, 90.00 98.49 90.00°
With the nearest neighbours (Å) after each atom.
Space group C2/c (No. 15)
Symmetry-distinct sites (fractional):
Nd  0.0000  0.0770  0.2500  8 O 2.52-2.69
Nd  0.1847  0.3953  0.6705  7 O 2.41-2.68
Si  0.1578  0.0536  0.0250  4 O 1.62-1.65
Cl  0.0000  0.4739  0.7500  3 Nd 2.83-2.87, 2 O 2.96
O  0.0762  0.1309  0.5307  1 Si 1.65
O  0.1425  0.2393  0.1453  1 Si 1.62
O  0.1543  0.1133  0.8435  1 Si 1.63
O  0.2369  0.4421  0.4180  1 Si 1.65

For the total magnetization, the calculation gives 0.0 μB/f.u. For the energy above the lowest structure with this stoichiometry, the calculation gives 14 meV/atom.

***

Below is a relaxed structure of Lu5O, with properties calculated at the GGA-PBE level.

Cell: 6.0603 6.0603 5.8354 Å, 90.00 90.00 120.00°
With the nearest neighbours (Å) after each atom.
Space group P6/mmm (No. 191)
Symmetry-distinct sites (fractional):
Lu  0.0000  0.5000  0.0000  4 Lu 3.03
Lu  0.3333  0.6667  0.5000  9 Lu 3.40-3.50, 3 O 3.50
O  0.0000  0.0000  0.5000  6 Lu 3.50

The raw total energy comes out at -3.750 eV/atom. For the total magnetization, the calculation gives 0.0 μB/f.u.

***

Below is a relaxed structure of Gd2YTl3AgIr2, with properties calculated at the GGA-PBE level.

Cell: 3.8261 13.6200 7.8641 Å, 90.00 90.00 90.00°
With the nearest neighbours (Å) after each atom.
Space group Amm2 (No. 38)
Symmetry-distinct sites (fractional):
Gd  0.0000  0.2060  0.0000  4 Ir 3.04-3.05, 2 Tl 3.15, 1 Ag 3.24
Y  0.0000  0.0000  0.3836  4 Ir 3.06, 6 Tl 3.14-3.42, 1 Ag 3.23
Tl  0.5000  0.0000  0.0668  2 Ag 2.87, 2 Ir 2.90, 2 Y 3.14
Tl  0.5000  0.1349  0.6583  2 Ag 2.86, 2 Ir 2.90, 2 Gd 3.15
Ag  0.0000  0.0000  0.7949  6 Tl 2.86-2.87
Ir  0.5000  0.1672  0.2941  3 Tl 2.90, 4 Gd 3.04-3.05, 2 Y 3.06

The raw total energy comes out at -5.258 eV/atom. For the total magnetization, the calculation gives 0.0 μB/f.u.

***

Below is a relaxed structure of LuScPd, with properties calculated at the GGA-PBE level.

Cell: 6.6134 6.6134 6.6134 Å, 90.00 90.00 90.00°
With the nearest neighbours (Å) after each atom.
Space group F-43m (No. 216)
Symmetry-distinct sites (fractional):
Lu  0.0000  0.0000  0.0000  4 Pd 2.86
Sc  0.0000  0.0000  0.5000  4 Pd 2.86
Pd  0.2500  0.2500  0.2500  4 Sc 2.86, 4 Lu 2.86

For the total magnetization, the calculation gives 0.0 μB/f.u. The calculated formation energy comes out at -0.498 eV per atom. For the energy above the lowest structure with this stoichiometry, the calculation gives 0 meV/atom.

***

Below is a relaxed structure of CdFeSnIr, with properties calculated at the GGA-PBE level.

Cell: 6.4375 6.4375 6.4375 Å, 90.00 90.00 90.00°
With the nearest neighbours (Å) after each atom.
Space group F-43m (No. 216)
Symmetry-distinct sites (fractional):
Cd  0.0000  0.0000  0.0000  4 Fe 2.79, 4 Ir 2.79
Fe  0.2500  0.2500  0.7500  4 Cd 2.79, 4 Sn 2.79
Sn  0.0000  0.0000  0.5000  4 Fe 2.79, 4 Ir 2.79
Ir  0.2500  0.2500  0.2500  4 Cd 2.79, 4 Sn 2.79

For the total magnetization, the calculation gives 2.2 μB/f.u. For the energy above the lowest structure with this stoichiometry, the calculation gives 0 meV/atom.

***

| no. | ρ (g/cm3) | volume (Å³ per atom) |
| --- | --- | --- |
| 1 | 7.9 | 16.40 |
| 2 | 11.2 | 22.54 |
| 3 | 9.7 | 19.66 |
| 4 | 8.8 | 19.93 |
| 5 | 9.3 | 26.68 |
| 6 | 5.8 | 27.18 |
| 7 | 6.6 | 25.06 |
| 8 | 5.6 | 13.91 |
| 9 | 8.0 | 30.93 |
| 10 | 12.2 | 22.77 |
| 11 | 7.5 | 24.10 |
| 12 | 11.9 | 16.67 |